18
Lattice="-1.821 -4.156 2.389 4.461 -0.238 -2.516 4.406 2.427 7.581" Properties=species:S:1:pos:R:3 comment="TaGaSnO6 | the Alexandria database | GGA-PBE | optimized geometry" dos_at_fermi_per_ev_cell=0.00 total_energy_ev_per_atom=-7.484 sg="P-31c (163)" pbc="T T T"
Ta 3.469 -0.938 1.014
Ta 3.577 -1.030 6.440
Ga 1.374 -2.243 2.649
Ga 5.672 0.276 4.805
Sn 0.000 0.000 0.000
Sn 2.203 1.213 3.791
O 2.323 -2.573 0.904
O 2.101 0.228 0.137
O 2.166 0.109 5.597
O 4.945 -2.196 7.317
O 2.533 -0.600 2.749
O 4.565 0.730 1.142
O 2.636 -0.633 8.159
O 4.880 -2.076 1.857
O 2.480 -2.697 6.312
O 4.410 -1.334 -0.705
O 4.513 -1.367 4.705
O 4.723 0.605 6.549

=====

14
Lattice="6.459 0.000 0.000 0.000 6.467 0.000 -3.230 0.000 8.270" Properties=species:S:1:pos:R:3 comment="Tb4GaSnO | the Alexandria database | GGA-PBE | optimized geometry" dos_at_fermi_per_ev_cell=9.21 total_energy_ev_per_atom=-5.590 sg="Cmcm (63)" pbc="T T T"
Tb 3.230 1.617 7.210
Tb 0.000 4.850 6.909
Tb 0.000 4.850 1.060
Tb 3.230 1.617 1.361
Tb 1.615 3.233 4.135
Tb -1.615 0.000 4.135
Tb 1.615 0.000 4.135
Tb -1.615 3.233 4.135
Ga 0.000 1.617 1.941
Ga 3.230 4.850 6.329
Sn 3.230 4.850 1.800
Sn 0.000 1.617 6.470
O 0.000 4.850 4.445
O 3.230 1.617 3.825

=====

8
Lattice="-1.578 -0.225 5.521 -3.168 -5.468 -0.931 5.745 0.986 -1.535" Properties=species:S:1:pos:R:3 comment="Tl2GaSnO4 | the Alexandria database | GGA-PBE | optimized geometry" dos_at_fermi_per_ev_cell=2.60 total_energy_ev_per_atom=-5.127 sg="P1 (1)" pbc="T T T"
Tl -0.806 -0.139 2.793
Tl 1.714 -0.921 0.387
Ga 2.468 -1.922 3.499
Sn -0.576 -3.812 2.699
O 0.771 -2.196 2.681
O -2.098 -2.752 3.574
O -1.284 -4.000 0.777
O 3.839 -0.044 -1.139